Computed, not measured: a geometry-optimized Li2CuSiO4 structure at the GGA-PBE level of DFT. Values from VASP.

Structure (Quantum ESPRESSO input):
```
&SYSTEM
  ibrav = 0, nat = 8, ntyp = 4
/
ATOMIC_SPECIES
Li 6.94 Li.upf
Cu 63.55 Cu.upf
Si 28.09 Si.upf
O 16.00 O.upf
CELL_PARAMETERS angstrom
-2.2020 2.2020 4.2915
2.2020 -2.2020 4.2915
2.2020 2.2020 -4.2915
ATOMIC_POSITIONS crystal
Li 0.2500 0.7500 0.5000
Li 0.7500 0.2500 0.5000
Cu 0.0000 0.0000 0.0000
Si 0.5000 0.5000 0.0000
O 0.1725 0.1725 0.5655
O 0.3930 0.8275 0.0000
O 0.6070 0.6070 0.4345
O 0.8275 0.3930 0.0000
```

Computed properties:
Energy relative to the elements, uncorrected = -191.5 kJ per mole of atoms
Relative energy among the computed polymorphs = 0.005 eV per atom
Calculated total energy = -6.132 eV/atom
DOS(E_F) = 1.182 states/eV per cell